Record 1
The following is a DFT calculation (PBE) of an optimized crystal structure of Sm2CoIr.

Properties
* SG: P2_1/m, No. 11
* ΔH_f (0 K): -0.423 eV/atom

Unit cell a=5.6744 b=4.0809 c=8.1248 alpha=90.00 beta=109.37 gamma=90.00
Fractional positions:
Sm 0.2181 0.2500 0.4253
Sm 0.2806 0.7500 0.0710
Sm 0.7194 0.2500 0.9290
Sm 0.7819 0.7500 0.5747
Co 0.3467 0.7500 0.7165
Co 0.6533 0.2500 0.2835
Ir 0.1541 0.2500 0.7807
Ir 0.8459 0.7500 0.2193

***

Record 2
The following is a DFT calculation (PBE) of an optimized crystal structure of Sm8Co2Ir.

Properties
* SG: Cm, No. 8
* ΔH_f (0 K): -0.121 eV/atom

Unit cell a=7.4703 b=7.4703 c=6.3117 alpha=100.46 beta=100.46 gamma=113.65
Fractional positions:
Sm 0.0000 0.0000 0.0000
Sm 0.0103 0.2781 0.5771
Sm 0.1471 0.5613 0.1880
Sm 0.2781 0.0103 0.5771
Sm 0.4370 0.7051 0.7892
Sm 0.5613 0.1471 0.1880
Sm 0.7051 0.4370 0.7892
Sm 0.7142 0.7142 0.3809
Co 0.0490 0.6716 0.6896
Co 0.6716 0.0490 0.6896
Ir 0.3562 0.3562 0.3759

***

Record 3
The following is a DFT calculation (PBE) of an optimized crystal structure of Sm4CoIr.

Properties
* SG: I4_1md, No. 109
* polymorph energy (0 for the lowest one): 49 meV per atom
* ΔH_f (0 K): -0.280 eV/atom

Unit cell a=7.7604 b=7.7604 c=7.7604 alpha=106.81 beta=106.81 gamma=114.94
Fractional positions:
Sm 0.1960 0.0000 0.1960
Sm 0.2362 0.5362 0.2999
Sm 0.2362 0.9363 0.7001
Sm 0.2862 0.4862 0.7999
Sm 0.6863 0.4862 0.2001
Sm 0.7500 0.0540 0.3040
Sm 0.7500 0.4460 0.6960
Sm 0.8040 0.0000 0.8040
Co 0.2445 0.2445 0.0000
Co 0.9945 0.4945 0.5000
Ir 0.4917 0.9917 0.5000
Ir 0.7417 0.7417 0.0000

***

Record 4
The following is a DFT calculation (PBE) of an optimized crystal structure of Sm5Co2Ir.

Properties
* SG: I4/mcm, No. 140
* ΔH_f (0 K): -0.295 eV/atom

Unit cell a=8.8700 b=8.8700 c=8.8700 alpha=131.67 beta=131.67 gamma=70.75
Fractional positions:
Sm 0.0000 0.0000 0.0000
Sm 0.0367 0.5367 0.8575
Sm 0.1792 0.0367 0.5000
Sm 0.3208 0.8208 0.8575
Sm 0.4633 0.3208 0.5000
Sm 0.5000 0.5000 0.0000
Sm 0.5367 0.6792 0.5000
Sm 0.6792 0.1792 0.1425
Sm 0.8208 0.9633 0.5000
Sm 0.9633 0.4633 0.1425
Co 0.1104 0.3896 0.5000
Co 0.3896 0.8896 0.2791
Co 0.6104 0.1104 0.7209
Co 0.8896 0.6104 0.5000
Ir 0.2500 0.2500 0.0000
Ir 0.7500 0.7500 0.0000